Entry 1:
Compound: Co4PbAu
Source: Alexandria
Functional: PBE-GGA
Structure: relaxed

```
Co4PbAu
1.0
0.000 3.515 3.515
3.515 0.000 3.515
3.515 3.515 0.000
Co Au Pb
4 1 1
direct
0.374 0.877 0.374 Co
0.877 0.374 0.374 Co
0.374 0.374 0.374 Co
0.374 0.374 0.877 Co
0.000 0.000 0.000 Au
0.750 0.750 0.750 Pb
```

## Properties
* DOS(E_F): 1.662 states/eV/atom
* formation energy: 363 meV per atom
* mass density: 12.23 g/cm³


Entry 2:
Compound: LiPt2Cl
Source: Alexandria
Functional: PBE-GGA
Structure: relaxed

```
LiPt2Cl
1.0
-3.317 -3.815 -0.130
4.160 -0.631 -2.805
1.290 -1.196 2.182
Pt Li Cl
2 1 1
direct
0.500 0.500 0.000 Pt
0.000 0.000 0.000 Pt
0.000 0.500 0.500 Li
0.500 0.000 0.500 Cl
```

## Properties
* DOS(E_F): 0.595 states/eV/atom
* energy relative to the lowest polymorph listed for this composition: 485.9 meV/atom
* mass density: 11.11 g/cm³
* E_form (uncorrected): 3.492 kcal/mol of atoms


Entry 3:
Compound: Be2PN
Source: Alexandria
Functional: PBE-GGA
Structure: relaxed

```
Be2PN
1.0
2.964 0.520 2.330
-0.311 2.346 2.981
-0.086 -1.413 3.533
N Be P
1 2 1
direct
0.000 0.000 0.000 N
0.750 0.750 0.750 Be
0.250 0.250 0.250 Be
0.500 0.500 0.500 P
```

## Properties
* DOS(E_F): 0.365 states/eV/atom
* energy relative to the lowest polymorph listed for this composition: 1227.2 meV/atom
* mass density: 2.68 g/cm³
* E_form (uncorrected): 22.746 kcal/mol of atoms


Entry 4:
Compound: Li3As2Pb
Source: Alexandria
Functional: PBE-GGA
Structure: relaxed

```
Li3As2Pb
1.0
4.131 0.000 0.000
0.000 7.191 0.000
0.000 0.000 7.959
As Li Pb
4 6 2
direct
0.000 0.742 0.367 As
0.000 0.242 0.633 As
0.500 0.764 0.883 As
0.500 0.264 0.117 As
0.500 0.622 0.177 Li
0.000 0.469 0.936 Li
0.000 0.969 0.064 Li
0.500 0.122 0.823 Li
0.000 0.365 0.307 Li
0.000 0.865 0.693 Li
0.500 0.539 0.591 Pb
0.500 0.039 0.409 Pb
```

## Properties
* DOS(E_F): 0.333 states/eV/atom
* formation energy: -444 meV per atom
* mass density: 5.31 g/cm³


Entry 5:
Compound: La2Pm12Dy
Source: Alexandria
Functional: PBE-GGA
Structure: relaxed

```
La2Pm12Dy
1.0
6.594 0.000 0.000
0.000 6.594 0.000
0.000 0.000 25.450
Pm La Dy
24 4 2
direct
0.000 0.000 0.338 Pm
0.500 0.500 0.214 Pm
0.312 0.812 0.887 Pm
0.500 0.500 0.786 Pm
0.188 0.312 0.887 Pm
0.832 0.332 0.562 Pm
0.812 0.688 0.887 Pm
0.168 0.332 0.438 Pm
0.000 0.000 0.786 Pm
0.832 0.668 0.438 Pm
0.688 0.188 0.887 Pm
0.668 0.832 0.562 Pm
0.312 0.188 0.113 Pm
0.188 0.688 0.113 Pm
0.332 0.832 0.438 Pm
0.688 0.812 0.113 Pm
0.668 0.168 0.438 Pm
0.000 0.000 0.214 Pm
0.332 0.168 0.562 Pm
0.500 0.500 0.338 Pm
0.168 0.668 0.562 Pm
0.500 0.500 0.662 Pm
0.812 0.312 0.113 Pm
0.000 0.000 0.662 Pm
0.000 0.500 0.265 La
0.500 0.000 0.735 La
0.500 0.000 0.265 La
0.000 0.500 0.735 La
0.500 0.000 0.000 Dy
0.000 0.500 0.000 Dy
```

## Properties
* DOS(E_F): 1.415 states/eV/atom
* formation energy: 303 meV per atom
* mass density: 6.54 g/cm³


Entry 6:
Compound: Th2SnTe
Source: Alexandria
Functional: PBE-GGA
Structure: relaxed

```
Th2SnTe
1.0
5.472 0.000 0.000
2.736 4.739 0.000
2.736 1.580 4.468
Th Sn Te
2 1 1
direct
0.250 0.250 0.250 Th
0.750 0.750 0.750 Th
0.500 0.500 0.500 Sn
0.000 0.000 0.000 Te
```

## Properties
* DOS(E_F): 1.304 states/eV/atom
* energy relative to the lowest polymorph listed for this composition: 44.3 meV/atom
* mass density: 10.18 g/cm³
* E_form (uncorrected): -17.285 kcal/mol of atoms


Entry 7:
Compound: K3Tl4Pd
Source: Alexandria
Functional: PBE-GGA
Structure: relaxed

```
K3Tl4Pd
1.0
7.306 -0.416 1.731
-3.960 6.153 -1.731
-1.645 -2.885 6.747
Tl K Pd
4 3 1
direct
0.231 0.309 0.540 Tl
0.041 0.738 0.303 Tl
0.231 0.691 0.922 Tl
0.565 0.262 0.303 Tl
0.565 0.773 0.337 K
0.936 0.000 0.936 K
0.565 0.227 0.792 K
0.018 0.500 0.518 Pd
```

## Properties
* DOS(E_F): 0.491 states/eV/atom
* formation energy: -99 meV per atom
* mass density: 5.93 g/cm³


Entry 8:
Compound: PmAgF6
Source: Alexandria
Functional: PBE-GGA
Structure: relaxed

```
PmAgF6
1.0
5.510 0.008 0.008
2.750 4.779 0.009
2.748 1.588 5.194
F Pm Ag
6 1 1
direct
0.901 0.622 0.243 F
0.621 0.234 0.243 F
0.766 0.099 0.757 F
0.379 0.766 0.757 F
0.234 0.901 0.243 F
0.099 0.378 0.757 F
0.500 0.500 0.500 Pm
0.000 0.000 0.000 Ag
```

## Properties
* DOS(E_F): 0.015 states/eV/atom
* mass density: 4.46 g/cm³
* E_form (uncorrected): -56.776 kcal/mol of atoms


Result set for total magnetization: 6.6, 0.0, 0.0, 0.0, 0.0, 0.3, 0.0, 2.0 Bohr magnetons per cell, one per record in the order listed.